Record 1
The following is a PBE calculation of a geometry-optimized Y3Mg3Zn8 structure, from the Alexandria database.

Values from the calculation:
Its formation enthalpy at 0 K is -400 kJ/mol of formula units. For the total DFT energy (no corrections), the calculation gives -2.751 eV per atom. For the density of states at the Fermi level, the calculation gives 7.64 states/eV per cell. Its symmetry is Immm.

Lattice parameters (Å, degrees): 4.466 8.437 8.437 65.35 74.65 74.65
Positions (direct):
Mg: 0.000 0.205 0.795
Mg: 0.500 0.000 0.000
Mg: 0.000 0.795 0.205
Y: 0.207 0.793 0.793
Y: 0.793 0.207 0.207
Y: 0.500 0.500 0.500
Zn: 0.355 0.918 0.371
Zn: 0.355 0.371 0.918
Zn: 0.165 0.471 0.199
Zn: 0.645 0.082 0.629
Zn: 0.835 0.529 0.801
Zn: 0.645 0.629 0.082
Zn: 0.165 0.199 0.471
Zn: 0.835 0.801 0.529

Record 2
The following is a PBE calculation of a geometry-optimized CuSBrO structure, from the Alexandria database.

Values from the calculation:
As for the formation energy (no corrections): -421.1 meV/atom. For the total DFT energy (no corrections), the calculation gives -4.135 eV per atom. For the density of states at the Fermi level, the calculation gives 0.00 states/eV per cell. Its symmetry is P1.

Lattice parameters (Å, degrees): 8.085 5.794 4.066 82.03 85.10 64.88
Positions (direct):
Cu: 0.860 0.730 0.399
Cu: 0.113 0.931 0.899
S: 0.026 0.409 0.841
S: 0.845 0.034 0.670
Br: 0.595 0.063 0.995
Br: 0.294 0.860 0.364
O: 0.183 0.462 0.905
O: 0.881 0.476 0.119

Record 3
The following is a PBE calculation of a geometry-optimized AcPm3Cd4 structure, from the Alexandria database.

Values from the calculation:
Its formation enthalpy at 0 K is -230 kJ/mol of formula units. For the total DFT energy (no corrections), the calculation gives -3.051 eV per atom. For the density of states at the Fermi level, the calculation gives 19.23 states/eV per cell. Its symmetry is P4/mmm.

Lattice parameters (Å, degrees): 5.480 7.863 10.962 90.00 90.00 90.00
Each line ends with the local moment (μB).
Positions (direct):
Pm: 0.500 0.000 0.250  0.14
Pm: 0.000 0.000 0.500  0.15
Pm: 0.500 0.500 0.250  0.13
Pm: 0.500 0.500 0.750  0.13
Pm: 0.500 0.000 0.750  0.14
Pm: 0.000 0.000 0.000  0.15
Cd: 0.500 0.764 0.000  0.01
Cd: 0.500 0.236 0.500  0.01
Cd: 0.000 0.764 0.250  0.01
Cd: 0.000 0.764 0.750  0.01
Cd: 0.000 0.236 0.250  0.01
Cd: 0.000 0.236 0.750  0.01
Cd: 0.500 0.764 0.500  0.01
Cd: 0.500 0.236 0.000  0.01
Ac: 0.000 0.500 0.500  0.08
Ac: 0.000 0.500 0.000  0.08

Record 4
The following is a PBE calculation of a geometry-optimized PuInAgRh structure, from the Alexandria database.

Values from the calculation:
Its formation enthalpy at 0 K is -64 kJ/mol of formula units. For the total DFT energy (no corrections), the calculation gives -6.984 eV per atom. For the density of states at the Fermi level, the calculation gives 11.68 states/eV per cell. Its symmetry is F-43m.

Lattice parameters (Å, degrees): 4.882 4.882 4.882 60.00 60.00 60.00
Each line ends with the local moment (μB).
Positions (direct):
Ag: 0.500 0.500 0.500  0.04
Pu: 0.750 0.750 0.750  5.19
In: 0.250 0.250 0.250  0.01
Rh: 0.000 0.000 0.000  -0.20

Record 5
The following is a PBE calculation of a geometry-optimized CeSmPd2 structure, from the Alexandria database.

Values from the calculation:
Its formation enthalpy at 0 K is -251 kJ/mol of formula units. For the total DFT energy (no corrections), the calculation gives -5.909 eV per atom. For the density of states at the Fermi level, the calculation gives 6.15 states/eV per cell. Its symmetry is R-3m.

Lattice parameters (Å, degrees): 4.132 4.132 7.257 73.46 73.46 60.00
Each line ends with the local moment (μB).
Positions (direct):
Sm: 0.500 0.500 0.500  -0.01
Pd: 0.748 0.748 0.757  -0.01
Pd: 0.252 0.252 0.243  -0.01
Ce: 0.000 0.000 0.000  0.51

Record 6
The following is a PBE calculation of a geometry-optimized YRhF2 structure, from the Alexandria database.

Values from the calculation:
As for the formation energy (no corrections): -1581.4 meV/atom. For the total DFT energy (no corrections), the calculation gives -5.971 eV per atom. For the density of states at the Fermi level, the calculation gives 3.32 states/eV per cell. Its symmetry is Fm-3m.

Lattice parameters (Å, degrees): 4.302 4.302 4.302 60.00 60.00 60.00
Each line ends with the local moment (μB).
Positions (direct):
F: 0.250 0.250 0.250  -0.01
F: 0.750 0.750 0.750  -0.01
Y: 0.000 0.000 0.000  0.02
Rh: 0.500 0.500 0.500  -0.19